[1]
LiLu2Al: optimized geometry, GGA-PBEsol.

abc: 4.983 4.983 4.983
angles: 60.00 60.00 60.00
Atoms (fractional coordinates):
Lu 0.750 0.750 0.750
Lu 0.250 0.250 0.250
Al 0.000 0.000 0.000
Li 0.500 0.500 0.500

Summary:
DOS at the Fermi energy = 3.11 states/eV/f.u.
DFT formation energy = -71 kJ/mol of formula units
space group = Fm-3m, No. 225
spin magnetization = 0.0 μB per formula unit
crystal system = cubic
volume = 87.5 Å³/f.u.

=====

[2]
Ba3YI9: optimized geometry, GGA-PBEsol.

abc: 8.038 13.821 19.988
angles: 90.00 90.00 90.00
Atoms (fractional coordinates):
Ba 0.250 0.439 0.602
Ba 0.250 0.331 0.034
Ba 0.750 0.247 0.839
Ba 0.250 0.253 0.339
Ba 0.750 0.169 0.534
Ba 0.750 0.061 0.102
Ba 0.250 0.939 0.898
Ba 0.250 0.831 0.466
Ba 0.750 0.747 0.661
Ba 0.250 0.753 0.161
Ba 0.750 0.669 0.966
Ba 0.750 0.561 0.398
Y 0.750 0.489 0.180
Y 0.250 0.011 0.680
Y 0.750 0.989 0.320
Y 0.250 0.511 0.820
I 0.982 0.437 0.914
I 0.518 0.437 0.914
I 0.010 0.443 0.278
I 0.490 0.443 0.278
I 0.250 0.315 0.763
I 0.750 0.301 0.672
I 0.995 0.359 0.467
I 0.505 0.359 0.467
I 0.750 0.319 0.087
I 0.250 0.181 0.587
I 0.495 0.141 0.967
I 0.005 0.141 0.967
I 0.250 0.199 0.172
I 0.750 0.185 0.263
I 0.990 0.057 0.778
I 0.510 0.057 0.778
I 0.482 0.063 0.414
I 0.018 0.063 0.414
I 0.982 0.937 0.586
I 0.518 0.937 0.586
I 0.490 0.943 0.222
I 0.010 0.943 0.222
I 0.250 0.815 0.737
I 0.750 0.801 0.828
I 0.995 0.859 0.033
I 0.505 0.859 0.033
I 0.750 0.819 0.413
I 0.250 0.681 0.913
I 0.495 0.641 0.533
I 0.005 0.641 0.533
I 0.250 0.699 0.328
I 0.750 0.685 0.237
I 0.990 0.557 0.722
I 0.510 0.557 0.722
I 0.482 0.563 0.086
I 0.018 0.563 0.086

Summary:
DOS at the Fermi energy = 0.00 states/eV/f.u.
space group = Pnma, No. 62
spin magnetization = 0.0 μB per formula unit
crystal system = orthorhombic
E_form (uncorrected) = -1.606 eV/atom
volume = 555.1 Å³/f.u.

=====

[3]
CoNiIr2: optimized geometry, GGA-PBEsol.

abc: 2.631 3.540 5.257
angles: 90.00 90.00 90.00
Site moments in Bohr magnetons follow the coordinates.
Atoms (fractional coordinates):
Ni 0.500 0.500 0.000  -0.04
Ir 0.000 0.000 0.749  0.03
Ir 0.000 0.000 0.251  0.03
Co 0.500 0.500 0.500  0.96

Summary:
DOS at the Fermi energy = 5.04 states/eV/f.u.
DFT formation energy = 15 kJ/mol of formula units
space group = Pmmm, No. 47
spin magnetization = 1.0 μB per formula unit
crystal system = orthorhombic
volume = 49.0 Å³/f.u.

=====

[4]
ZrSc2Tc: optimized geometry, GGA-PBEsol.

abc: 3.330 4.686 5.767
angles: 113.98 106.78 90.00
Atoms (fractional coordinates):
Sc 0.788 0.788 0.576
Sc 0.212 0.212 0.424
Tc 0.500 0.000 0.000
Zr 0.000 0.500 0.000

Summary:
DOS at the Fermi energy = 4.28 states/eV/f.u.
DFT formation energy = -58 kJ/mol of formula units
space group = Immm, No. 71
spin magnetization = 0.0 μB per formula unit
crystal system = orthorhombic
volume = 78.0 Å³/f.u.

=====

[5]
La3GaS5O: optimized geometry, GGA-PBEsol.

abc: 4.001 10.671 19.752
angles: 90.00 90.00 90.00
Atoms (fractional coordinates):
La 0.250 0.402 0.164
La 0.750 0.480 0.603
La 0.750 0.852 0.509
La 0.250 0.148 0.491
La 0.750 0.352 0.991
La 0.250 0.020 0.103
La 0.250 0.648 0.009
La 0.750 0.098 0.664
La 0.250 0.902 0.336
La 0.750 0.598 0.836
La 0.250 0.520 0.397
La 0.750 0.980 0.897
Ga 0.750 0.207 0.290
Ga 0.250 0.793 0.710
Ga 0.250 0.293 0.790
Ga 0.750 0.707 0.210
S 0.250 0.629 0.534
S 0.250 0.915 0.619
S 0.750 0.852 0.762
S 0.250 0.779 0.883
S 0.750 0.415 0.289
S 0.750 0.221 0.117
S 0.750 0.585 0.119
S 0.750 0.871 0.034
S 0.750 0.352 0.738
S 0.750 0.915 0.211
S 0.750 0.371 0.466
S 0.750 0.721 0.383
S 0.250 0.415 0.881
S 0.250 0.279 0.617
S 0.250 0.129 0.966
S 0.250 0.585 0.711
S 0.750 0.085 0.381
S 0.250 0.148 0.238
S 0.250 0.648 0.262
S 0.250 0.085 0.789
O 0.750 0.075 0.543
O 0.250 0.925 0.457
O 0.250 0.425 0.043
O 0.750 0.575 0.957

Summary:
space group = Pnma, No. 62
spin magnetization = 0.0 μB per formula unit
crystal system = orthorhombic
E_form (uncorrected) = -2.122 eV/atom
volume = 210.8 Å³/f.u.

=====

[6]
RbNbPbC2: optimized geometry, GGA-PBEsol.

abc: 4.366 4.366 5.480
angles: 90.00 90.00 90.00
Atoms (fractional coordinates):
Pb 0.500 0.500 0.500
Nb 0.000 0.000 0.000
C 0.000 0.500 0.000
C 0.500 0.000 0.000
Rb 0.000 0.000 0.500

Summary:
DOS at the Fermi energy = 4.68 states/eV/f.u.
DFT formation energy = 942 kJ/mol of formula units
space group = P4/mmm, No. 123
spin magnetization = 0.0 μB per formula unit
crystal system = tetragonal
volume = 104.5 Å³/f.u.

=====

[7]
SiMoSe2: optimized geometry, GGA-PBEsol.

abc: 3.164 3.164 7.055
angles: 90.00 90.00 90.00
Atoms (fractional coordinates):
Mo 0.500 0.500 0.714
Se 0.000 0.000 0.924
Se 0.500 0.500 0.339
Si 0.000 0.000 0.523

Summary:
DOS at the Fermi energy = 1.99 states/eV/f.u.
space group = P4mm, No. 99
spin magnetization = 0.0 μB per formula unit
crystal system = tetragonal
E_form (uncorrected) = -0.241 eV/atom
volume = 70.6 Å³/f.u.

=====

[8]
KOsCl2: optimized geometry, GGA-PBEsol.

abc: 4.003 4.003 6.341
angles: 71.60 71.60 60.00
Site moments in Bohr magnetons follow the coordinates.
Atoms (fractional coordinates):
K 0.500 0.500 0.500  0.01
Os 0.000 0.000 0.000  0.71
Cl 0.280 0.280 0.160  0.04
Cl 0.720 0.720 0.840  0.04

Summary:
DOS at the Fermi energy = 1.23 states/eV/f.u.
space group = R-3m, No. 166
spin magnetization = 0.9 μB per formula unit
crystal system = trigonal
E_form (uncorrected) = 0.037 eV/atom
volume = 81.9 Å³/f.u.

=====

[9]
KYAu2: optimized geometry, GGA-PBEsol.

abc: 3.610 3.610 7.961
angles: 90.00 90.00 90.00
Atoms (fractional coordinates):
Y 0.500 0.500 0.500
K 0.500 0.500 0.000
Au 0.000 0.000 0.688
Au 0.000 0.000 0.312

Summary:
DOS at the Fermi energy = 2.03 states/eV/f.u.
DFT formation energy = -205 kJ/mol of formula units
space group = P4/mmm, No. 123
spin magnetization = 0.0 μB per formula unit
crystal system = tetragonal
volume = 103.7 Å³/f.u.

=====

[10]
HfSbN2: optimized geometry, GGA-PBEsol.

abc: 5.324 6.061 5.324
angles: 63.95 90.00 116.05
Atoms (fractional coordinates):
Sb 0.250 0.500 0.250
Sb 0.500 0.000 0.500
Hf 0.750 0.500 0.750
Hf 0.000 0.000 0.000
N 0.686 0.750 0.375
N 0.064 0.750 0.875
N 0.875 0.250 0.686
N 0.375 0.250 0.064

Summary:
DOS at the Fermi energy = 1.76 states/eV/f.u.
space group = I-42d, No. 122
spin magnetization = 0.0 μB per formula unit
crystal system = tetragonal
E_form (uncorrected) = -0.433 eV/atom
volume = 67.3 Å³/f.u.

=====

[11]
Ba3SrZn: optimized geometry, GGA-PBEsol.

abc: 6.440 6.440 6.440
angles: 90.00 90.00 90.00
Atoms (fractional coordinates):
Sr 0.500 0.500 0.500
Zn 0.000 0.000 0.000
Ba 0.000 0.500 0.000
Ba 0.000 0.000 0.500
Ba 0.500 0.000 0.000

Summary:
DOS at the Fermi energy = 6.87 states/eV/f.u.
DFT formation energy = 23 kJ/mol of formula units
space group = Pm-3m, No. 221
spin magnetization = 0.0 μB per formula unit
crystal system = cubic
volume = 267.1 Å³/f.u.

=====

[12]
Sc2ReP: optimized geometry, GGA-PBEsol.

abc: 3.358 3.358 5.732
angles: 90.00 90.00 90.00
Atoms (fractional coordinates):
P 0.500 0.500 0.000
Re 0.500 0.500 0.500
Sc 0.000 0.000 0.758
Sc 0.000 0.000 0.242

Summary:
DOS at the Fermi energy = 2.54 states/eV/f.u.
DFT formation energy = -235 kJ/mol of formula units
space group = P4/mmm, No. 123
spin magnetization = 0.0 μB per formula unit
crystal system = tetragonal
volume = 64.6 Å³/f.u.

=====

[13]
IrOs2W: optimized geometry, GGA-PBEsol.

abc: 3.850 3.857 3.857
angles: 90.00 90.00 90.00
Atoms (fractional coordinates):
Ir 0.500 0.000 0.000
Os 0.000 0.000 0.500
Os 0.000 0.500 0.000
W 0.500 0.500 0.500

Summary:
DOS at the Fermi energy = 2.26 states/eV/f.u.
DFT formation energy = -50 kJ/mol of formula units
space group = P4/mmm, No. 123
spin magnetization = 0.0 μB per formula unit
crystal system = tetragonal
volume = 57.3 Å³/f.u.

=====

[14]
CaAlS2: optimized geometry, GGA-PBEsol.

abc: 5.978 5.978 6.770
angles: 116.20 116.20 90.00
Atoms (fractional coordinates):
Ca 0.250 0.750 0.500
Ca 0.000 0.000 0.000
S 0.436 0.875 0.250
S 0.814 0.375 0.250
S 0.125 0.186 0.750
S 0.625 0.564 0.750
Al 0.750 0.250 0.500
Al 0.500 0.500 0.000

Summary:
DOS at the Fermi energy = 2.74 states/eV/f.u.
space group = I-42d, No. 122
spin magnetization = 0.0 μB per formula unit
crystal system = tetragonal
E_form (uncorrected) = -1.110 eV/atom
volume = 94.5 Å³/f.u.

=====

[15]
LaBIO2: optimized geometry, GGA-PBEsol.

abc: 4.279 4.279 6.796
angles: 90.00 90.00 90.00
Atoms (fractional coordinates):
I 0.000 0.000 0.500
B 0.500 0.500 0.500
O 0.000 0.500 0.000
O 0.500 0.000 0.000
La 0.000 0.000 0.000

Summary:
DOS at the Fermi energy = 1.68 states/eV/f.u.
space group = P4/mmm, No. 123
spin magnetization = 0.0 μB per formula unit
crystal system = tetragonal
E_form (uncorrected) = -0.392 eV/atom
volume = 124.4 Å³/f.u.

=====

[16]
La2Sc2In: optimized geometry, GGA-PBEsol.

abc: 4.220 4.220 8.464
angles: 104.44 104.44 90.00
Atoms (fractional coordinates):
Sc 0.418 0.418 0.836
Sc 0.582 0.582 0.164
In 0.000 0.000 0.000
La 0.250 0.750 0.500
La 0.750 0.250 0.500

Summary:
DOS at the Fermi energy = 8.96 states/eV/f.u.
DFT formation energy = 191 kJ/mol of formula units
space group = I4/mmm, No. 139
spin magnetization = 0.0 μB per formula unit
crystal system = tetragonal
volume = 141.1 Å³/f.u.

=====

[17]
Hf2NiS4: optimized geometry, GGA-PBEsol.

abc: 3.490 6.036 6.648
angles: 116.63 105.22 90.00
Atoms (fractional coordinates):
Ni 0.000 0.000 0.000
S 0.114 0.790 0.228
S 0.886 0.210 0.772
S 0.383 0.721 0.767
S 0.617 0.279 0.233
Hf 0.257 0.255 0.514
Hf 0.743 0.745 0.486

Summary:
DOS at the Fermi energy = 1.90 states/eV/f.u.
space group = C2/m, No. 12
spin magnetization = 0.0 μB per formula unit
crystal system = monoclinic
E_form (uncorrected) = -1.351 eV/atom
volume = 119.7 Å³/f.u.

=====

[18]
LiVP3O9: optimized geometry, GGA-PBEsol.

abc: 9.321 9.337 9.628
angles: 110.04 103.98 108.61
Site moments in Bohr magnetons follow the coordinates.
Atoms (fractional coordinates):
Li 0.652 0.067 0.498  0.00
Li 0.631 0.850 0.666  0.00
Li 0.369 0.150 0.334  0.00
Li 0.348 0.933 0.502  0.00
V 0.253 0.771 0.723  2.61
V 0.904 0.705 0.784  2.61
V 0.096 0.295 0.216  2.61
V 0.747 0.229 0.277  2.61
P 0.186 0.089 0.920  0.01
P 0.513 0.152 0.895  0.01
P 0.938 0.212 0.839  0.01
P 0.996 0.390 0.647  0.02
P 0.572 0.340 0.706  0.01
P 0.307 0.430 0.589  0.01
P 0.693 0.570 0.411  0.01
P 0.428 0.660 0.294  0.01
P 0.004 0.610 0.353  0.02
P 0.062 0.788 0.161  0.01
P 0.487 0.848 0.105  0.01
P 0.814 0.911 0.080  0.01
O 0.362 0.190 0.923  0.00
O 0.050 0.728 0.993  0.00
O 0.083 0.156 0.823  0.00
O 0.000 0.375 0.807  0.00
O 0.600 0.306 0.861  0.00
O 0.373 0.822 0.953  0.00
O 0.121 0.902 0.810  -0.01
O 0.031 0.571 0.678  -0.01
O 0.149 0.358 0.626  0.00
O 0.430 0.403 0.713  0.00
O 0.779 0.077 0.704  0.00
O 0.808 0.858 0.912  0.00
O 0.726 0.482 0.742  0.00
O 0.503 0.175 0.555  0.00
O 0.365 0.616 0.638  0.00
O 0.445 0.985 0.745  0.00
O 0.273 0.311 0.419  0.00
O 0.158 0.750 0.493  0.00
O 0.842 0.250 0.507  0.00
O 0.727 0.689 0.581  0.00
O 0.555 0.015 0.255  0.00
O 0.635 0.384 0.362  0.00
O 0.497 0.825 0.445  0.00
O 0.274 0.518 0.258  0.00
O 0.192 0.142 0.088  0.00
O 0.221 0.923 0.296  0.00
O 0.570 0.597 0.287  0.00
O 0.851 0.642 0.374  0.00
O 0.969 0.429 0.322  -0.01
O 0.879 0.098 0.190  -0.01
O 0.627 0.178 0.047  0.00
O 0.400 0.694 0.139  0.00
O 0.000 0.625 0.193  0.00
O 0.917 0.844 0.177  0.00
O 0.950 0.272 0.007  0.00
O 0.638 0.810 0.077  0.00

Summary:
space group = P-1, No. 2
spin magnetization = 3.0 μB per formula unit
crystal system = triclinic
E_form (uncorrected) = -2.150 eV/atom
volume = 171.4 Å³/f.u.

=====

[19]
Al2CdBr: optimized geometry, GGA-PBEsol.

abc: 4.184 4.184 5.931
angles: 110.65 110.65 90.00
Atoms (fractional coordinates):
Al 0.000 0.000 0.000
Al 0.750 0.250 0.500
Br 0.500 0.500 0.000
Cd 0.250 0.750 0.500

Summary:
DOS at the Fermi energy = 1.75 states/eV/f.u.
space group = I-4m2, No. 119
spin magnetization = 0.0 μB per formula unit
crystal system = tetragonal
E_form (uncorrected) = 0.219 eV/atom
volume = 90.0 Å³/f.u.

=====

[20]
ZrCd2Au: optimized geometry, GGA-PBEsol.

abc: 4.156 4.156 4.529
angles: 90.00 90.00 90.00
Atoms (fractional coordinates):
Au 0.000 0.000 0.500
Zr 0.500 0.500 0.500
Cd 0.000 0.500 0.000
Cd 0.500 0.000 0.000

Summary:
DOS at the Fermi energy = 3.31 states/eV/f.u.
DFT formation energy = -86 kJ/mol of formula units
space group = P4/mmm, No. 123
spin magnetization = 0.0 μB per formula unit
crystal system = tetragonal
volume = 78.2 Å³/f.u.

=====

[21]
ScAg2Au: optimized geometry, GGA-PBEsol.

abc: 3.404 3.404 6.121
angles: 90.00 90.00 90.00
Atoms (fractional coordinates):
Sc 0.000 0.000 0.740
Au 0.500 0.500 0.502
Ag 0.500 0.500 0.012
Ag 0.000 0.000 0.246

Summary:
DOS at the Fermi energy = 1.47 states/eV/f.u.
DFT formation energy = -145 kJ/mol of formula units
space group = P4mm, No. 99
spin magnetization = 0.0 μB per formula unit
crystal system = tetragonal
volume = 70.9 Å³/f.u.